Here is a relaxed structure of RbSNO2 from Alexandria. Energies are from PBE.

For the total energy, the calculation gives -4.253 eV/atom. As for the formation energy without anion corrections: 414 meV per atom. As for the total magnetization: 1.51 μB per formula unit. The value obtained for the density of states at the Fermi level is 1.983 states/eV per cell.

The space group is P4/mmm (No. 123) and the conventional cell measures 4.0783, 4.0783 and 3.7795 Å, with angles of 90.00, 90.00 and 90.00 degrees. Symmetry generates all atoms from Rb at (0.0000, 0.0000, 0.0000), S at (0.5000, 0.5000, 0.5000), N at (0.5000, 0.5000, 0.0000) and O at (0.0000, 0.5000, 0.5000).

***

Here is a relaxed structure of La3CO from Alexandria. Energies are from PBE.

For the total energy, the calculation gives -6.891 eV/atom. As for the formation energy without anion corrections: -1098 meV per atom. As for the total magnetization: 0.00 μB per formula unit. The value obtained for the density of states at the Fermi level is 14.668 states/eV per cell.

The space group is C2/m (No. 12) and the conventional cell measures 6.4846, 11.7635 and 6.8788 Å, with angles of 90.00, 110.22 and 90.00 degrees. Symmetry generates all atoms from La at (0.2412, 0.0000, 0.2495), La at (0.2417, 0.1694, 0.7224), C at (0.0000, 0.3382, 0.5000) and O at (0.1700, 0.0000, 0.8857).

***

Here is a relaxed structure of LiAc2Tb from Alexandria. Energies are from PBE.

For the total energy, the calculation gives -3.563 eV/atom. As for the total magnetization: 0.00 μB per formula unit. Its formation energy is 0.128 eV/atom. The value obtained for the density of states at the Fermi level is 17.432 states/eV per cell.

The space group is Fm-3m (No. 225) and the conventional cell measures 8.3446, 8.3446 and 8.3446 Å, with angles of 90.00, 90.00 and 90.00 degrees. Symmetry generates all atoms from Li at (0.0000, 0.0000, 0.0000), Ac at (0.2500, 0.2500, 0.2500) and Tb at (0.0000, 0.0000, 0.5000).

***

Here is a relaxed structure of HfMnW from Alexandria. Energies are from PBE.

For the total energy, the calculation gives -10.718 eV/atom. As for the total magnetization: 0.00 μB per formula unit. Its formation energy is -0.026 eV/atom. The value obtained for the density of states at the Fermi level is 3.963 states/eV per cell.

The space group is I4mm (No. 107) and the conventional cell measures 3.1043, 3.1043 and 9.9049 Å, with angles of 90.00, 90.00 and 90.00 degrees. Symmetry generates all atoms from Hf at (0.0000, 0.0000, 0.0000), Mn at (0.0000, 0.0000, 0.6691) and W at (0.0000, 0.0000, 0.3106).

***

Here is a relaxed structure of Dy3Ho5Tm3 from Alexandria. Energies are from PBE.

For the total energy, the calculation gives -4.194 eV/atom. As for the total magnetization: 0.00 μB per formula unit. Its formation energy is 0.362 eV/atom. The value obtained for the density of states at the Fermi level is 16.444 states/eV per cell.

The space group is P-62m (No. 189) and the conventional cell measures 10.9944, 10.9944 and 3.3989 Å, with angles of 90.00, 90.00 and 120.00 degrees. Symmetry generates all atoms from Dy at (0.0000, 0.6589, 0.0000), Ho at (0.0000, 0.1601, 0.0000), Ho at (0.3333, 0.6667, 0.0000) and Tm at (0.0000, 0.4065, 0.5000).

***

Here is a relaxed structure of La6Sb2N from Alexandria. Energies are from PBE.

For the total energy, the calculation gives -5.766 eV/atom. As for the formation energy without anion corrections: -640 meV per atom. As for the total magnetization: 0.14 μB per formula unit. The value obtained for the density of states at the Fermi level is 27.225 states/eV per cell.

The space group is P4_2/mnm (No. 136) and the conventional cell measures 7.0517, 7.0517 and 12.9135 Å, with angles of 90.00, 90.00 and 90.00 degrees. Symmetry generates all atoms from La at (0.1877, 0.1877, 0.1393), La at (0.2405, 0.2405, 0.5000), Sb at (0.0000, 0.0000, 0.3355) and N at (0.0000, 0.0000, 0.0000).